a | Density functional theory data (PBE-GGA) for a geometry-optimized Nd3HgC structure.

Cell: 5.105 5.105 5.105 Å, 90.00 90.00 90.00°
Sites, in units of the cell vectors:
Nd (0.000, 0.000, 0.500)
Nd (0.000, 0.500, 0.000)
Nd (0.500, 0.000, 0.000)
Hg (0.500, 0.500, 0.500)
C (0.000, 0.000, 0.000)

Output
total magnetization: 0.0 Bohr magnetons per cell

---

b | Density functional theory data (PBE-GGA) for a geometry-optimized Nd3HgC structure.

Cell: 9.009 3.767 15.438 Å, 90.00 90.00 90.00°
Sites, in units of the cell vectors:
Nd (0.026, 0.250, 0.098)
Nd (0.177, 0.250, 0.504)
Nd (0.215, 0.750, 0.302)
Nd (0.285, 0.250, 0.802)
Nd (0.323, 0.750, 0.004)
Nd (0.474, 0.750, 0.598)
Nd (0.526, 0.250, 0.402)
Nd (0.677, 0.250, 0.996)
Nd (0.715, 0.750, 0.198)
Nd (0.785, 0.250, 0.698)
Nd (0.823, 0.750, 0.496)
Nd (0.974, 0.750, 0.902)
Hg (0.084, 0.750, 0.673)
Hg (0.416, 0.250, 0.173)
Hg (0.584, 0.750, 0.827)
Hg (0.916, 0.250, 0.327)
C (0.155, 0.250, 0.946)
C (0.345, 0.750, 0.446)
C (0.655, 0.250, 0.554)
C (0.845, 0.750, 0.054)

Output
total magnetization: 0.0 Bohr magnetons per cell

---

From most stable to least stable, the computed energies give b, a.

---

a | Density functional theory data (PBE-GGA) for a geometry-optimized Zr2NiHgC structure.

Cell: 5.213 5.213 4.567 Å, 90.00 90.00 90.00°
Sites, in units of the cell vectors:
Zr (0.000, 0.500, 0.000)
Zr (0.500, 0.000, 0.000)
Ni (0.000, 0.000, 0.500)
Hg (0.000, 0.000, 0.000)
C (0.500, 0.500, 0.500)

Output
total magnetization: 0.3 Bohr magnetons per cell

---

b | Density functional theory data (PBE-GGA) for a geometry-optimized Zr2NiHgC structure.

Cell: 4.614 4.614 3.872 Å, 90.00 90.00 90.00°
Sites, in units of the cell vectors:
Zr (0.000, 0.500, 0.000)
Zr (0.500, 0.000, 0.000)
Ni (0.000, 0.000, 0.500)
Hg (0.500, 0.500, 0.500)
C (0.000, 0.000, 0.000)

Output
total magnetization: 0.0 Bohr magnetons per cell

---

From most stable to least stable, the computed energies give b, a.

---

a | Density functional theory data (PBE-GGA) for a geometry-optimized HgCO2 structure.

Cell: 3.971 3.971 3.971 Å, 60.00 60.00 60.00°
Sites, in units of the cell vectors:
Hg (0.000, 0.000, 0.000)
C (0.500, 0.500, 0.500)
O (0.250, 0.250, 0.250)
O (0.750, 0.750, 0.750)

Output
total magnetization: 0.0 Bohr magnetons per cell

---

b | Density functional theory data (PBE-GGA) for a geometry-optimized HgCO2 structure.

Cell: 3.596 3.596 8.694 Å, 90.75 90.75 83.93°
Sites, in units of the cell vectors:
Hg (0.000, 0.000, 0.000)
C (0.500, 0.500, 0.500)
O (0.347, 0.347, 0.401)
O (0.653, 0.653, 0.599)

Output
total magnetization: 0.0 Bohr magnetons per cell

---

c | Density functional theory data (PBE-GGA) for a geometry-optimized HgCO2 structure.

Cell: 5.007 5.007 5.007 Å, 60.00 60.00 60.00°
Sites, in units of the cell vectors:
Hg (0.125, 0.125, 0.125)
Hg (0.875, 0.875, 0.875)
C (0.375, 0.375, 0.375)
C (0.625, 0.625, 0.625)
O (0.000, 0.500, 0.500)
O (0.500, 0.000, 0.500)
O (0.500, 0.500, 0.000)
O (0.500, 0.500, 0.500)

Output
total magnetization: 0.0 Bohr magnetons per cell

---

From most stable to least stable, the computed energies give b, c, a.

---

a | Density functional theory data (PBE-GGA) for a geometry-optimized HgOs2C2 structure.

Cell: 6.847 6.847 2.741 Å, 90.00 90.00 90.00°
Sites, in units of the cell vectors:
Hg (0.000, 0.000, 0.000)
Hg (0.500, 0.500, 0.000)
Os (0.134, 0.366, 0.500)
Os (0.366, 0.866, 0.500)
Os (0.634, 0.134, 0.500)
Os (0.866, 0.634, 0.500)
C (0.114, 0.614, 0.000)
C (0.386, 0.114, 0.000)
C (0.614, 0.886, 0.000)
C (0.886, 0.386, 0.000)

Output
total magnetization: 0.0 Bohr magnetons per cell

---

b | Density functional theory data (PBE-GGA) for a geometry-optimized HgOs2C2 structure.

Cell: 8.544 8.544 8.544 Å, 153.92 153.92 37.21°
Sites, in units of the cell vectors:
Hg (0.000, 0.000, 0.000)
Os (0.250, 0.750, 0.500)
Os (0.750, 0.250, 0.500)
C (0.290, 0.290, 0.000)
C (0.710, 0.710, 0.000)

Output
total magnetization: 0.0 Bohr magnetons per cell

---

From most stable to least stable, the computed energies give b, a.